A) Below is a crystal of CaLa2Cd2 relaxed with PBEsol, with properties calculated at the SCAN level.

a b c (Å): 4.6295 4.6295 14.6537
angles (deg): 90.00 90.00 90.00
Space group I4/mmm (No. 139)
Asymmetric unit:
1 Ca 0.0000 0.0000 0.0000
2 La 0.0000 0.5000 0.2500
3 Cd 0.0000 0.0000 0.4074

DOS(E_F)	7.94	states/eV/cell



B) Below is a crystal of CaLa2Cd2 relaxed with PBEsol, with properties calculated at the SCAN level.

a b c (Å): 9.0290 9.0290 3.7828
angles (deg): 90.00 90.00 90.00
Space group P4/mbm (No. 127)
Asymmetric unit:
1 Ca 0.0000 0.0000 0.0000
2 La 0.1690 0.3310 0.5000
3 Cd 0.1256 0.6256 0.0000

DOS(E_F)	9.68	states/eV/cell



We find B) to be the most stable, with the next structure 147 meV per atom higher.



A) Below is a crystal of LiCaCd relaxed with PBEsol, with properties calculated at the SCAN level.

a b c (Å): 4.8544 4.8544 3.7464
angles (deg): 90.00 90.00 120.00
Space group P-6m2 (No. 187)
Asymmetric unit:
1 Li 0.0000 0.0000 0.0000
2 Ca 0.3333 0.6667 0.5000
3 Cd 0.6667 0.3333 0.0000

DOS(E_F)	2.01	states/eV/cell



B) Below is a crystal of LiCaCd relaxed with PBEsol, with properties calculated at the SCAN level.

a b c (Å): 7.2192 7.2192 7.2192
angles (deg): 90.00 90.00 90.00
Space group F-43m (No. 216)
Asymmetric unit:
1 Li 0.0000 0.0000 0.0000
2 Ca 0.2500 0.2500 0.2500
3 Cd 0.0000 0.0000 0.5000

DOS(E_F)	6.86	states/eV/cell



We find A) to be the most stable, with the next structure 444 meV per atom higher.



A) Below is a crystal of Ca2MgCd2 relaxed with PBEsol, with properties calculated at the SCAN level.

a b c (Å): 4.0655 4.0655 18.2356
angles (deg): 90.00 90.00 90.00
Space group I4/mmm (No. 139)
Asymmetric unit:
1 Ca 0.0000 0.0000 0.1046
2 Mg 0.0000 0.0000 0.5000
3 Cd 0.0000 0.5000 0.2500

DOS(E_F)	6.59	states/eV/cell



B) Below is a crystal of Ca2MgCd2 relaxed with PBEsol, with properties calculated at the SCAN level.

a b c (Å): 8.0034 8.0034 4.3189
angles (deg): 90.00 90.00 90.00
Space group P4/mbm (No. 127)
Asymmetric unit:
1 Ca 0.1697 0.3303 0.0000
2 Mg 0.0000 0.0000 0.5000
3 Cd 0.1301 0.6301 0.5000

DOS(E_F)	7.06	states/eV/cell



We find B) to be the most stable, with the next structure 281 meV per atom higher.



A) Below is a crystal of Ca2MgCd relaxed with PBEsol, with properties calculated at the SCAN level.

a b c (Å): 3.7296 3.7296 8.4680
angles (deg): 90.00 90.00 90.00
Space group P4mm (No. 99)
Asymmetric unit:
1 Ca 0.0000 0.0000 0.0000
2 Ca 0.5000 0.5000 0.3424
3 Mg 0.5000 0.5000 0.7460
4 Cd 0.0000 0.0000 0.5711

DOS(E_F)	1.81	states/eV/cell



B) Below is a crystal of Ca2MgCd relaxed with PBEsol, with properties calculated at the SCAN level.

a b c (Å): 7.6706 7.6706 7.6706
angles (deg): 90.00 90.00 90.00
Space group Fm-3m (No. 225)
Asymmetric unit:
1 Ca 0.2500 0.2500 0.2500
2 Mg 0.0000 0.0000 0.0000
3 Cd 0.0000 0.0000 0.5000

DOS(E_F)	11.31	states/eV/cell



We find B) to be the most stable, with the next structure 63 meV per atom higher.



A) Below is a crystal of Ca2MgCd relaxed with PBEsol, with properties calculated at the SCAN level.

a b c (Å): 3.7733 5.5045 11.1065
angles (deg): 90.00 90.00 90.00
Space group Imm2 (No. 44)
Asymmetric unit:
1 Ca 0.0000 0.0000 0.0000
2 Ca 0.0000 0.5000 0.2083
3 Mg 0.0000 0.5000 0.7703
4 Cd 0.0000 0.0000 0.4695

DOS(E_F)	5.17	states/eV/cell



B) Below is a crystal of Ca2MgCd relaxed with PBEsol, with properties calculated at the SCAN level.

a b c (Å): 3.7367 3.7367 30.7873
angles (deg): 90.00 90.00 120.00
Space group R-3m (No. 166, hexagonal axes)
Asymmetric unit:
1 Ca 0.0000 0.0000 0.2448
2 Mg 0.0000 0.0000 0.0000
3 Cd 0.0000 0.0000 0.5000

DOS(E_F)	10.01	states/eV/cell



We find A) to be the most stable, with the next structure 170 meV per atom higher.



A) Below is a crystal of Ca2MgCd relaxed with PBEsol, with properties calculated at the SCAN level.

a b c (Å): 12.1348 3.6060 5.6339
angles (deg): 90.00 111.12 90.00
Space group Cm (No. 8)
Asymmetric unit:
1 Ca 0.0000 0.0000 0.0000
2 Ca 0.2046 0.0000 0.6596
3 Mg 0.2645 0.5000 0.2097
4 Cd 0.4639 0.0000 0.4800

DOS(E_F)	4.80	states/eV/cell



B) Below is a crystal of Ca2MgCd relaxed with PBEsol, with properties calculated at the SCAN level.

a b c (Å): 3.8775 5.4021 5.4031
angles (deg): 90.00 90.00 90.00
Space group Pmm2 (No. 25)
Asymmetric unit:
1 Ca 0.0000 0.0000 0.0000
2 Ca 0.0000 0.5000 0.4988
3 Mg 0.5000 0.5000 0.9983
4 Cd 0.5000 0.0000 0.5005

DOS(E_F)	2.82	states/eV/cell



We find B) to be the most stable, with the next structure 37 meV per atom higher.



A) Below is a crystal of CaMg2Cd2 relaxed with PBEsol, with properties calculated at the SCAN level.

a b c (Å): 8.3900 8.3900 3.3937
angles (deg): 90.00 90.00 90.00
Space group P4/mbm (No. 127)
Asymmetric unit:
1 Ca 0.0000 0.0000 0.0000
2 Mg 0.1693 0.3307 0.5000
3 Cd 0.1271 0.6271 0.0000

DOS(E_F)	3.75	states/eV/cell



B) Below is a crystal of CaMg2Cd2 relaxed with PBEsol, with properties calculated at the SCAN level.

a b c (Å): 4.3509 4.3509 13.2004
angles (deg): 90.00 90.00 90.00
Space group I4/mmm (No. 139)
Asymmetric unit:
1 Ca 0.0000 0.0000 0.0000
2 Mg 0.0000 0.5000 0.2500
3 Cd 0.0000 0.0000 0.3956

DOS(E_F)	5.28	states/eV/cell



We find B) to be the most stable, with the next structure 65 meV per atom higher.



A) Below is a crystal of Ca2CdP relaxed with PBEsol, with properties calculated at the SCAN level.

a b c (Å): 5.1301 5.1301 7.1525
angles (deg): 90.00 90.00 90.00
Space group I4/mmm (No. 139)
Asymmetric unit:
1 Ca 0.0000 0.5000 0.2500
2 Cd 0.0000 0.0000 0.0000
3 P 0.0000 0.0000 0.5000

DOS(E_F)	5.23	states/eV/cell



B) Below is a crystal of Ca2CdP relaxed with PBEsol, with properties calculated at the SCAN level.

a b c (Å): 3.6268 3.7090 6.9127
angles (deg): 90.00 90.00 90.00
Space group Pmmm (No. 47)
Asymmetric unit:
1 Ca 0.0000 0.0000 0.2139
2 Cd 0.5000 0.5000 0.5000
3 P 0.5000 0.5000 0.0000

DOS(E_F)	1.56	states/eV/cell



We find B) to be the most stable, with the next structure 173 meV per atom higher.



A) Below is a crystal of Ca2CdP relaxed with PBEsol, with properties calculated at the SCAN level.

a b c (Å): 4.2218 4.2218 21.7983
angles (deg): 90.00 90.00 120.00
Space group R-3m (No. 166, hexagonal axes)
Asymmetric unit:
1 Ca 0.0000 0.0000 0.2312
2 Cd 0.0000 0.0000 0.0000
3 P 0.0000 0.0000 0.5000

DOS(E_F)	3.69	states/eV/cell



B) Below is a crystal of Ca2CdP relaxed with PBEsol, with properties calculated at the SCAN level.

a b c (Å): 4.1702 4.2571 11.1064
angles (deg): 90.00 90.00 90.00
Space group Amm2 (No. 38)
Asymmetric unit:
1 Ca 0.0000 0.0000 0.0000
2 Ca 0.5000 0.0000 0.2839
3 Cd 0.5000 0.0000 0.5721
4 P 0.0000 0.0000 0.7308

DOS(E_F)	1.47	states/eV/cell



We find B) to be the most stable, with the next structure 54 meV per atom higher.



A) Below is a crystal of Ca2CdSb relaxed with PBEsol, with properties calculated at the SCAN level.

a b c (Å): 5.0485 5.0485 4.2209
angles (deg): 90.00 90.00 90.00
Space group P4/mmm (No. 123)
Asymmetric unit:
1 Ca 0.0000 0.5000 0.0000
2 Cd 0.0000 0.0000 0.5000
3 Sb 0.5000 0.5000 0.5000

DOS(E_F)	1.16	states/eV/cell



B) Below is a crystal of Ca2CdSb relaxed with PBEsol, with properties calculated at the SCAN level.

a b c (Å): 4.4942 4.4222 11.5806
angles (deg): 90.00 90.00 90.00
Space group Amm2 (No. 38)
Asymmetric unit:
1 Ca 0.0000 0.0000 0.0000
2 Ca 0.5000 0.0000 0.2771
3 Cd 0.0000 0.0000 0.7247
4 Sb 0.5000 0.0000 0.5560

DOS(E_F)	2.05	states/eV/cell



We find B) to be the most stable, with the next structure 45 meV per atom higher.



A) Below is a crystal of Ca2Cl relaxed with PBEsol, with properties calculated at the SCAN level.

a b c (Å): 7.0625 7.0625 7.0625
angles (deg): 90.00 90.00 90.00
Space group Fm-3m (No. 225)
Asymmetric unit:
1 Ca 0.2500 0.2500 0.2500
2 Cl 0.0000 0.0000 0.0000

DOS(E_F)	10.54	states/eV/cell



B) Below is a crystal of Ca2Cl relaxed with PBEsol, with properties calculated at the SCAN level.

a b c (Å): 3.8249 3.8249 6.9501
angles (deg): 90.00 90.00 120.00
Space group P-3m1 (No. 164)
Asymmetric unit:
1 Ca 0.3333 0.6667 0.2132
2 Cl 0.0000 0.0000 0.5000

DOS(E_F)	1.02	states/eV/cell



We find B) to be the most stable, with the next structure 599 meV per atom higher.



A) Below is a crystal of CaHgCl2 relaxed with PBEsol, with properties calculated at the SCAN level.

a b c (Å): 7.1925 7.1925 7.1925
angles (deg): 90.00 90.00 90.00
Space group F-43m (No. 216)
Asymmetric unit:
1 Ca 0.0000 0.0000 0.0000
2 Hg 0.2500 0.2500 0.7500
3 Cl 0.0000 0.0000 0.5000
4 Cl 0.2500 0.2500 0.2500

DOS(E_F)	0.00	states/eV/cell



B) Below is a crystal of CaHgCl2 relaxed with PBEsol, with properties calculated at the SCAN level.

a b c (Å): 3.9069 6.1548 9.3224
angles (deg): 90.00 90.00 90.00
Space group Immm (No. 71)
Asymmetric unit:
1 Ca 0.0000 0.0000 0.0000
2 Hg 0.0000 0.0000 0.5000
3 Cl 0.0000 0.5000 0.3080

DOS(E_F)	0.00	states/eV/cell



We find B) to be the most stable, with the next structure 360 meV per atom higher.